# 1
## ZnPH6CCl3 (PBE)

Data for crystalline ZnPH6CCl3 at its relaxed geometry.

a b c (Å): 3.985 6.413 15.460
angles (deg): 90.02 102.51 90.20
Positions (direct):
1 C 0.442 0.474 0.004
2 P 0.162 0.498 0.897
3 H 0.826 0.486 0.326
4 H 0.942 0.322 0.880
5 Zn 0.546 0.929 0.728
6 H 0.607 0.613 0.019
7 H 0.339 0.514 0.826
8 H 0.093 0.388 0.518
9 H 0.431 0.678 0.380
10 Cl 0.073 0.419 0.208
11 H 0.963 0.681 0.895
12 Zn 0.031 0.071 0.227
13 Cl 0.477 0.940 0.161
14 H 0.085 0.670 0.506
15 Cl 0.993 0.060 0.662
16 H 0.777 0.538 0.555
17 P 0.650 0.502 0.396
18 Cl 0.101 0.994 0.373
19 Cl 0.582 0.580 0.708
20 H 0.449 0.319 0.394
21 C 0.930 0.527 0.504
22 H 0.290 0.462 0.056
23 H 0.596 0.331 0.007
24 Cl 0.615 0.004 0.874

Summary:
distance to the lowest polymorph of the same formula	0.10	eV per formula unit
ρ	1.90	g cm⁻³
total magnetic moment	0.00	μB/f.u.
final energy	-3.96	eV/atom

# 2
## Si4Te2H44PdC16Cl2 (PBE)

Data for crystalline Si4Te2H44PdC16Cl2 at its relaxed geometry.

a b c (Å): 6.798 12.931 20.889
angles (deg): 95.32 90.00 105.24
Site moments in Bohr magnetons follow the coordinates.
Positions (direct):
1 Te 0.705 0.322 0.508  0.00
2 H 0.885 0.845 0.536  0.00
3 H 0.592 0.907 0.166  0.00
4 H 0.820 0.547 0.334  0.00
5 H 0.890 0.131 0.110  0.00
6 H 0.200 0.904 0.003  0.00
7 C 0.577 0.065 0.372  0.00
8 C 0.488 0.065 0.872  0.00
9 C 0.261 0.703 0.087  0.00
10 H 0.647 0.812 0.727  0.00
11 C 0.252 0.159 0.313  0.00
12 H 0.121 0.021 0.436  0.00
13 H 0.147 0.413 0.238  0.00
14 H 0.690 0.288 0.232  0.00
15 H 0.685 0.241 0.658  0.00
16 H 0.853 0.587 0.762  0.00
17 H 0.620 0.381 0.185  0.00
18 H 0.314 0.677 0.619  0.00
19 Si 0.754 0.154 0.888  0.00
20 H 0.310 0.712 0.768  0.00
21 H 0.018 0.350 0.025  0.00
22 H 0.852 0.793 0.892  0.00
23 H 0.396 0.062 0.916  0.00
24 H 0.966 0.824 0.817  0.00
25 H 0.510 0.018 0.644  0.00
26 H 0.922 0.488 0.804  0.00
27 H 0.078 0.512 0.196  0.00
28 C 0.885 0.102 0.952  0.00
29 H 0.315 0.907 0.666  0.00
30 H 0.148 0.207 0.108  0.00
31 C 0.326 0.693 0.817  0.00
32 H 0.508 0.018 0.144  0.00
33 Cl 0.684 0.588 0.092  0.01
34 Si 0.246 0.846 0.112  0.00
35 H 0.604 0.938 0.084  0.00
36 Cl 0.096 0.412 0.408  0.01
37 H 0.598 0.288 0.732  0.00
38 C 0.465 0.375 0.559  0.00
39 H 0.536 0.646 0.586  0.00
40 H 0.637 0.323 0.881  0.00
41 H 0.363 0.677 0.119  0.00
42 H 0.078 0.922 0.204  0.00
43 C 0.442 0.703 0.587  0.00
44 H 0.982 0.650 0.975  0.00
45 Cl 0.316 0.412 0.908  0.01
46 H 0.061 0.213 0.822  0.00
47 H 0.844 0.922 0.704  0.00
48 C 0.512 0.935 0.128  0.00
49 Cl 0.904 0.588 0.592  0.01
50 H 0.039 0.155 0.964  0.00
51 H 0.480 0.537 0.437  0.00
52 Si 0.401 0.328 0.642  0.00
53 H 0.242 0.131 0.610  0.00
54 H 0.156 0.078 0.296  0.00
55 C 0.994 0.801 0.866  0.00
56 H 0.566 0.488 0.304  0.00
57 C 0.115 0.898 0.048  0.00
58 H 0.334 0.938 0.584  0.00
59 C 0.875 0.563 0.810  0.00
60 C 0.217 0.102 0.452  0.00
61 C 0.909 0.375 0.059  0.00
62 H 0.059 0.207 0.608  0.00
63 H 0.734 0.587 0.262  0.00
64 H 0.408 0.093 0.834  0.00
65 H 0.879 0.979 0.564  0.00
66 C 0.783 0.898 0.548  0.00
67 H 0.266 0.413 0.738  0.00
68 Si 0.599 0.846 0.612  0.00
69 H 0.297 0.096 0.497  0.00
70 C 0.558 0.297 0.413  0.00
71 H 0.110 0.646 0.086  0.00
72 H 0.490 0.982 0.356  0.00
73 C 0.091 0.625 0.941  0.00
74 H 0.353 0.188 0.273  0.00
75 C 0.093 0.841 0.187  0.00
76 Te 0.383 0.678 0.992  0.00
77 C 0.535 0.625 0.441  0.00
78 H 0.890 0.354 0.914  0.00
79 Pd 0.000 0.500 0.500  0.06
80 H 0.180 0.453 0.666  0.00
81 H 0.520 0.463 0.563  0.00
82 H 0.800 0.096 0.997  0.00
83 H 0.666 0.062 0.416  0.00
84 C 0.688 0.563 0.310  0.00
85 H 0.152 0.213 0.322  0.00
86 H 0.703 0.904 0.503  0.00
87 H 0.315 0.759 0.342  0.00
88 H 0.239 0.619 0.315  0.00
89 H 0.685 0.093 0.334  0.00
90 H 0.273 0.453 0.166  0.00
91 H 0.961 0.845 0.036  0.00
92 H 0.556 0.241 0.158  0.00
93 H 0.142 0.176 0.683  0.00
94 H 0.727 0.547 0.834  0.00
95 Si 0.401 0.154 0.388  0.00
96 H 0.402 0.712 0.268  0.00
97 H 0.492 0.982 0.856  0.00
98 H 0.939 0.787 0.178  0.00
99 H 0.758 0.869 0.390  0.00
100 H 0.100 0.979 0.064  0.00
101 C 0.312 0.437 0.690  0.00
102 H 0.332 0.350 0.525  0.00
103 Te 0.617 0.322 0.008  0.00
104 H 0.761 0.381 0.685  0.00
105 H 0.922 0.078 0.796  0.00
106 H 0.434 0.512 0.696  0.00
107 C 0.907 0.159 0.813  0.00
108 H 0.943 0.463 0.063  0.00
109 H 0.034 0.176 0.183  0.00
110 H 0.941 0.793 0.392  0.00
111 H 0.858 0.824 0.317  0.00
112 C 0.367 0.693 0.317  0.00
113 H 0.848 0.787 0.678  0.00
114 H 0.444 0.759 0.842  0.00
115 H 0.900 0.021 0.936  0.00
116 C 0.423 0.935 0.628  0.00
117 C 0.808 0.801 0.366  0.00
118 C 0.006 0.199 0.134  0.00
119 Pd 0.500 0.500 0.000  0.06
120 H 0.668 0.650 0.475  0.00
121 H 0.115 0.155 0.464  0.00
122 Si 0.599 0.672 0.358  0.00
123 C 0.748 0.841 0.687  0.00
124 H 0.380 0.619 0.815  0.00
125 H 0.110 0.869 0.890  0.00
126 Si 0.926 0.328 0.142  0.00
127 H 0.835 0.188 0.773  0.00
128 C 0.674 0.307 0.183  0.00
129 C 0.192 0.199 0.634  0.00
130 H 0.464 0.354 0.414  0.00
131 H 0.686 0.323 0.381  0.00
132 C 0.633 0.307 0.683  0.00
133 Si 0.074 0.672 0.858  0.00
134 H 0.057 0.537 0.937  0.00
135 H 0.165 0.812 0.227  0.00
136 C 0.125 0.437 0.190  0.00
137 Te 0.295 0.678 0.492  0.00
138 C 0.739 0.297 0.913  0.00

Summary:
ρ	1.47	g cm⁻³
total magnetic moment	0.10	μB/f.u.
final energy	-5.04	eV/atom

# 3
## Pm8HC3Cl3 (PBE)

Data for crystalline Pm8HC3Cl3 at its relaxed geometry.

a b c (Å): 7.520 7.524 8.106
angles (deg): 117.69 89.99 119.99
Positions (direct):
1 Pm 0.268 0.535 0.303
2 Pm 0.247 0.493 0.708
3 Cl 0.500 0.500 0.000
4 C 0.500 0.500 0.500
5 Pm 0.714 0.961 0.708
6 Pm 0.247 0.961 0.708
7 Cl 0.000 0.500 0.000
8 Pm 0.753 0.507 0.292
9 C 0.000 0.500 0.500
10 H 0.000 0.000 0.500
11 Pm 0.753 0.039 0.292
12 Pm 0.286 0.039 0.292
13 Pm 0.732 0.465 0.697
14 Cl 0.000 0.000 0.000
15 C 0.500 0.000 0.500

Summary:
ρ	6.46	g cm⁻³
total magnetic moment	0.00	μB/f.u.
final energy	-5.79	eV/atom

# 4
## Pm4HCCl2 (PBE)

Data for crystalline Pm4HCCl2 at its relaxed geometry.

a b c (Å): 3.762 6.443 7.286
angles (deg): 105.55 90.00 90.00
Positions (direct):
1 H 0.000 0.000 0.000
2 Pm 0.000 0.729 0.189
3 Cl 0.500 0.000 0.500
4 C 0.500 0.500 0.000
5 Pm 0.500 0.753 0.797
6 Cl 0.000 0.500 0.500
7 Pm 0.000 0.271 0.811
8 Pm 0.500 0.247 0.203

Summary:
ρ	6.48	g cm⁻³
total magnetic moment	0.00	μB/f.u.
final energy	-5.34	eV/atom

Copy entry 3 word for word.
## Pm8HC3Cl3 (PBE)

Data for crystalline Pm8HC3Cl3 at its relaxed geometry.

a b c (Å): 7.520 7.524 8.106
angles (deg): 117.69 89.99 119.99
Positions (direct):
1 Pm 0.268 0.535 0.303
2 Pm 0.247 0.493 0.708
3 Cl 0.500 0.500 0.000
4 C 0.500 0.500 0.500
5 Pm 0.714 0.961 0.708
6 Pm 0.247 0.961 0.708
7 Cl 0.000 0.500 0.000
8 Pm 0.753 0.507 0.292
9 C 0.000 0.500 0.500
10 H 0.000 0.000 0.500
11 Pm 0.753 0.039 0.292
12 Pm 0.286 0.039 0.292
13 Pm 0.732 0.465 0.697
14 Cl 0.000 0.000 0.000
15 C 0.500 0.000 0.500

Summary:
ρ	6.46	g cm⁻³
total magnetic moment	0.00	μB/f.u.
final energy	-5.79	eV/atom

Repeat the first record exactly.
## ZnPH6CCl3 (PBE)

Data for crystalline ZnPH6CCl3 at its relaxed geometry.

a b c (Å): 3.985 6.413 15.460
angles (deg): 90.02 102.51 90.20
Positions (direct):
1 C 0.442 0.474 0.004
2 P 0.162 0.498 0.897
3 H 0.826 0.486 0.326
4 H 0.942 0.322 0.880
5 Zn 0.546 0.929 0.728
6 H 0.607 0.613 0.019
7 H 0.339 0.514 0.826
8 H 0.093 0.388 0.518
9 H 0.431 0.678 0.380
10 Cl 0.073 0.419 0.208
11 H 0.963 0.681 0.895
12 Zn 0.031 0.071 0.227
13 Cl 0.477 0.940 0.161
14 H 0.085 0.670 0.506
15 Cl 0.993 0.060 0.662
16 H 0.777 0.538 0.555
17 P 0.650 0.502 0.396
18 Cl 0.101 0.994 0.373
19 Cl 0.582 0.580 0.708
20 H 0.449 0.319 0.394
21 C 0.930 0.527 0.504
22 H 0.290 0.462 0.056
23 H 0.596 0.331 0.007
24 Cl 0.615 0.004 0.874

Summary:
distance to the lowest polymorph of the same formula	0.10	eV per formula unit
ρ	1.90	g cm⁻³
total magnetic moment	0.00	μB/f.u.
final energy	-3.96	eV/atom